No. 1
This record from the Alexandria database describes an optimized crystal structure of Ag2Hg2Pd. The functional is GGA-PBE.

Cell and atoms, written as POSCAR:
```
Ag2Hg2Pd
1.0
-1.9711 1.9711 7.0158
1.9711 -1.9711 7.0158
1.9711 1.9711 -7.0158
Ag Hg Pd
2 2 1
Cartesian
0.0000 0.0000 1.3099
0.0000 0.0000 12.7218
1.9711 0.0000 3.5079
0.0000 1.9711 3.5079
0.0000 0.0000 7.0158
```

## Properties
- DOS(E_F): 1.7 states/eV/f.u.
- Space group: I4/mmm (139)
- Energy relative to the lowest polymorph listed for this composition: 339 meV per atom
- ΔH_f (0 K): 0.33 eV per atom
- Volume: 21.8 Å³ per atom
- Crystal system: tetragonal
- Total magnetic moment: 0.0000 μB per atom

---

No. 2
This record from the Alexandria database describes an optimized crystal structure of Mn4Ru. The functional is GGA-PBE.

Cell and atoms, written as POSCAR:
```
Mn4Ru
1.0
4.6782 0.0000 0.0000
0.0000 4.6782 0.0000
0.0000 0.0000 4.6782
Mn Ru
4 1
Cartesian
0.0000 0.0000 0.0000
0.0000 2.3391 2.3391
2.3391 0.0000 2.3391
2.3391 2.3391 0.0000
2.3391 2.3391 2.3391
```

## Properties
- DOS(E_F): 8.5 states/eV/f.u.
- Space group: Pm-3m (221)
- Energy relative to the lowest polymorph listed for this composition: 1169 meV per atom
- ΔH_f (0 K): 1.32 eV per atom
- Volume: 20.5 Å³ per atom
- Crystal system: cubic
- Total magnetic moment: 3.1756 μB per atom

---

No. 3
This record from the Alexandria database describes an optimized crystal structure of Sr2PbW. The functional is GGA-PBE.

Cell and atoms, written as POSCAR:
```
Sr2PbW
1.0
0.0000 3.8717 3.8717
3.8717 0.0000 3.8717
3.8717 3.8717 0.0000
Sr Pb W
2 1 1
Cartesian
0.0000 0.0000 0.0000
1.9359 1.9359 1.9359
3.8717 3.8717 3.8717
5.8076 5.8076 5.8076
```

## Properties
- DOS(E_F): 3.4 states/eV/f.u.
- Space group: F-43m (216)
- ΔH_f (0 K): 0.81 eV per atom
- Volume: 29.0 Å³ per atom
- Crystal system: cubic
- Total magnetic moment: 0.9225 μB per atom

---

No. 4
This record from the Alexandria database describes an optimized crystal structure of Ag5C. The functional is GGA-PBE.

Cell and atoms, written as POSCAR:
```
Ag5C
1.0
2.9395 0.0000 0.0000
0.0000 2.9395 0.0000
0.0000 0.0000 11.1788
Ag C
5 1
Cartesian
0.0000 0.0000 0.0000
0.0000 0.0000 4.1863
0.0000 0.0000 6.9925
1.4697 1.4697 2.0778
1.4697 1.4697 9.1010
1.4697 1.4697 5.5894
```

## Properties
- DOS(E_F): 1.9 states/eV/f.u.
- Space group: P4/mmm (123)
- Energy relative to the lowest polymorph listed for this composition: 49 meV per atom
- ΔH_f (0 K): 0.78 eV per atom
- Volume: 16.1 Å³ per atom
- Crystal system: tetragonal
- Total magnetic moment: 0.0000 μB per atom

---

No. 5
This record from the Alexandria database describes an optimized crystal structure of NbAgS2N. The functional is GGA-PBE.

Cell and atoms, written as POSCAR:
```
NbAgS2N
1.0
4.7643 0.0000 0.0000
0.0000 4.7643 0.0000
0.0000 0.0000 3.8812
Nb Ag S N
1 1 2 1
Cartesian
0.0000 0.0000 0.0000
2.3822 2.3822 1.9406
0.0000 2.3822 1.9406
2.3822 0.0000 1.9406
2.3822 2.3822 0.0000
```

## Properties
- DOS(E_F): 7.7 states/eV/f.u.
- Space group: P4/mmm (123)
- Energy relative to the lowest polymorph listed for this composition: 1297 meV per atom
- Raw formation energy: 1.371 eV/atom
- Volume: 17.6 Å³ per atom
- Crystal system: tetragonal
- Total magnetic moment: 0.0002 μB per atom

---

No. 6
This record from the Alexandria database describes an optimized crystal structure of PaTiBrO4. The functional is GGA-PBE.

Cell and atoms, written as POSCAR:
```
PaTiBrO4
1.0
5.3029 -3.5046 0.0000
5.3029 3.5046 0.0000
-2.0990 0.0000 6.5966
Pa Ti Br O
2 2 2 8
Cartesian
2.3301 0.0000 0.8934
6.1767 0.0000 5.7032
2.3443 0.0000 4.8144
6.1625 0.0000 1.7822
-1.4974 0.0000 5.0041
10.0042 0.0000 1.5925
1.3576 1.3567 5.6138
2.1902 0.0000 3.0103
4.4041 0.0000 1.3015
1.3576 -1.3567 5.6138
7.1492 1.3567 0.9829
4.1027 0.0000 5.2951
6.3166 0.0000 3.5864
7.1492 -1.3567 0.9829
```

## Properties
- DOS(E_F): 0.0 states/eV/f.u.
- Space group: C2/m (12)
- Raw formation energy: -2.961 eV/atom
- Volume: 17.5 Å³ per atom
- Crystal system: monoclinic
- Total magnetic moment: 0.0000 μB per atom

---

No. 7
This record from the Alexandria database describes an optimized crystal structure of AlGa2Se. The functional is GGA-PBE.

Cell and atoms, written as POSCAR:
```
AlGa2Se
1.0
0.0000 3.4391 3.4391
3.4391 0.0000 3.4391
3.4391 3.4391 0.0000
Al Ga Se
1 2 1
Cartesian
0.0000 0.0000 0.0000
1.7196 1.7196 1.7196
5.1587 5.1587 5.1587
3.4391 3.4391 3.4391
```

## Properties
- DOS(E_F): 3.5 states/eV/f.u.
- Space group: Fm-3m (225)
- Energy relative to the lowest polymorph listed for this composition: 212 meV per atom
- Raw formation energy: 0.158 eV/atom
- Volume: 20.3 Å³ per atom
- Crystal system: cubic
- Total magnetic moment: 0.0000 μB per atom

---

No. 8
This record from the Alexandria database describes an optimized crystal structure of SrNd2Tl2Ag2. The functional is GGA-PBE.

Cell and atoms, written as POSCAR:
```
SrNd2Tl2Ag2
1.0
2.5050 1.4463 9.6485
-2.5050 1.4463 9.6485
0.0000 -2.8926 9.6485
Sr Nd Tl Ag
1 2 2 2
Cartesian
0.0000 0.0000 0.0000
0.0000 0.0000 3.6673
0.0000 0.0000 25.2781
0.0000 0.0000 7.3502
0.0000 0.0000 21.5952
0.0000 0.0000 11.8310
0.0000 0.0000 17.1144
```

## Properties
- DOS(E_F): 5.0 states/eV/f.u.
- Space group: R-3m (166)
- ΔH_f (0 K): -0.22 eV per atom
- Volume: 30.0 Å³ per atom
- Crystal system: trigonal
- Total magnetic moment: 0.0000 μB per atom